[1]
First-principles (PBE-GGA) data for crystalline GdAlGe at its relaxed geometry, as listed in Alexandria via LeMat-Bulk.

## Properties
Space-group type: Cmcm (63)
Energy of formation from the pure elements in eV per atom: -0.65
Total magnetic moment in Bohr magnetons per cell: 14.0
Energy in eV/atom: -8.1331
Crystal system: orthorhombic

a b c (Å): 4.0944 5.6650 5.8187
angles (deg): 90.00 90.00 111.18
Atoms (fractional coordinates):
Ge1 0.6055 0.2110 0.7500
Ge2 0.3945 0.7890 0.2500
Gd1 0.6889 0.3779 0.2500
Gd2 0.3111 0.6221 0.7500
Al1 0.0000 0.0000 0.5000
Al2 0.0000 0.0000 0.0000

---

[2]
First-principles (PBE-GGA) data for crystalline GdAlGe2 at its relaxed geometry, as listed in Alexandria via LeMat-Bulk.

## Properties
Space-group type: P4/mmm (123)
Energy of formation from the pure elements in eV per atom: -0.44
Total magnetic moment in Bohr magnetons per cell: 6.8
Energy in eV/atom: -7.2023
Crystal system: tetragonal

a b c (Å): 4.0834 4.4302 4.4302
angles (deg): 90.00 90.00 90.00
Atoms (fractional coordinates):
Ge1 0.0000 0.0000 0.5000
Ge2 0.0000 0.5000 0.0000
Gd1 0.5000 0.5000 0.5000
Al1 0.5000 0.0000 0.0000

---

[3]
First-principles (PBE-GGA) data for crystalline Gd2AlGe2 at its relaxed geometry, as listed in Alexandria via LeMat-Bulk.

## Properties
Space-group type: C2/c (15)
Energy of formation from the pure elements in eV per atom: -0.74
Total magnetic moment in Bohr magnetons per cell: 29.3
Energy in eV/atom: -8.9697
Crystal system: monoclinic

a b c (Å): 5.8169 5.8169 7.8240
angles (deg): 77.05 77.05 58.88
Atoms (fractional coordinates):
Gd1 0.4830 0.2247 0.6474
Gd2 0.5170 0.7753 0.3526
Gd3 0.2247 0.4830 0.1474
Gd4 0.7753 0.5170 0.8526
Al1 0.8305 0.1695 0.2500
Al2 0.1695 0.8305 0.7500
Ge1 0.9923 0.7347 0.4972
Ge2 0.0077 0.2653 0.5028
Ge3 0.7347 0.9923 0.9972
Ge4 0.2653 0.0077 0.0028

---

[4]
First-principles (PBE-GGA) data for crystalline GdAlGe2 at its relaxed geometry, as listed in Alexandria via LeMat-Bulk.

## Properties
Space-group type: R-3m (166)
Energy of formation from the pure elements in eV per atom: -0.37
Total magnetic moment in Bohr magnetons per cell: 7.0
Energy in eV/atom: -7.1300
Crystal system: trigonal

a b c (Å): 4.4188 4.4188 5.5517
angles (deg): 66.55 66.55 60.00
Atoms (fractional coordinates):
Ge1 0.2805 0.2805 0.1586
Ge2 0.7195 0.7195 0.8414
Gd1 0.5000 0.5000 0.5000
Al1 0.0000 0.0000 0.0000

---

[5]
First-principles (PBE-GGA) data for crystalline Gd2AlGe at its relaxed geometry, as listed in Alexandria via LeMat-Bulk.

## Properties
Space-group type: R-3m (166)
Energy of formation from the pure elements in eV per atom: 0.06
Total magnetic moment in Bohr magnetons per cell: 14.3
Energy in eV/atom: -9.0716
Crystal system: trigonal

a b c (Å): 3.4701 3.4701 10.6909
angles (deg): 80.66 80.66 60.00
Atoms (fractional coordinates):
Ge1 0.0000 0.0000 0.0000
Gd1 0.0931 0.0931 0.7206
Gd2 0.9069 0.9069 0.2794
Al1 0.5000 0.5000 0.5000

---

[6]
First-principles (PBE-GGA) data for crystalline Gd2Al3Ge4 at its relaxed geometry, as listed in Alexandria via LeMat-Bulk.

## Properties
Space-group type: Cmce (64)
Energy of formation from the pure elements in eV per atom: -0.47
Total magnetic moment in Bohr magnetons per cell: 28.1
Energy in eV/atom: -6.9027
Crystal system: orthorhombic

a b c (Å): 8.0162 8.0162 7.9299
angles (deg): 90.00 90.00 135.91
Atoms (fractional coordinates):
Gd1 0.1146 0.8854 0.4190
Gd2 0.8854 0.1146 0.5810
Gd3 0.3854 0.6146 0.9190
Gd4 0.6146 0.3854 0.0810
Al1 0.0000 0.0000 0.0000
Al2 0.5000 0.5000 0.5000
Al3 0.0341 0.4659 0.2500
Al4 0.4659 0.0341 0.7500
Al5 0.9659 0.5341 0.7500
Al6 0.5341 0.9659 0.2500
Ge1 0.2043 0.2957 0.2500
Ge2 0.2957 0.2043 0.7500
Ge3 0.7957 0.7043 0.7500
Ge4 0.7043 0.7957 0.2500
Ge5 0.1853 0.8147 0.0525
Ge6 0.8147 0.1853 0.9475
Ge7 0.3147 0.6853 0.5525
Ge8 0.6853 0.3147 0.4475

---

[7]
First-principles (PBE-GGA) data for crystalline GdAlGe at its relaxed geometry, as listed in Alexandria via LeMat-Bulk.

## Properties
Space-group type: I4_1md (109)
Energy of formation from the pure elements in eV per atom: -0.63
Total magnetic moment in Bohr magnetons per cell: 13.9
Energy in eV/atom: -8.1097
Crystal system: tetragonal

a b c (Å): 7.9264 7.9264 7.9264
angles (deg): 149.36 149.36 43.88
Atoms (fractional coordinates):
Gd1 0.5815 0.5815 0.0000
Gd2 0.3315 0.8315 0.5000
Al1 0.1653 0.1653 0.0000
Al2 0.9153 0.4153 0.5000
Ge1 0.0001 0.0001 0.0000
Ge2 0.7501 0.2501 0.5000

---

[8]
First-principles (PBE-GGA) data for crystalline Gd2AlGe at its relaxed geometry, as listed in Alexandria via LeMat-Bulk.

## Properties
Space-group type: P4/mmm (123)
Energy of formation from the pure elements in eV per atom: -0.52
Total magnetic moment in Bohr magnetons per cell: 14.6
Energy in eV/atom: -9.6524
Crystal system: tetragonal

a b c (Å): 4.1933 4.7306 4.7306
angles (deg): 90.00 90.00 90.00
Atoms (fractional coordinates):
Ge1 0.5000 0.0000 0.0000
Gd1 0.0000 0.0000 0.5000
Gd2 0.0000 0.5000 0.0000
Al1 0.5000 0.5000 0.5000